1.
Compound: Sb2N2O
Source: Alexandria
Functional: PBE-GGA
Structure: relaxed

The structure in POSCAR format:
```
Sb2N2O
1.0
4.558 0.000 0.000
0.000 4.558 0.000
2.279 2.279 3.321
Sb O N
2 1 2
Direct
0.750 0.250 0.500
0.250 0.750 0.500
0.000 0.000 0.000
0.404 0.404 0.192
0.596 0.596 0.808
```

- Final energy: -27.6 eV for the cell shown


2.
Compound: SbNO3
Source: Alexandria
Functional: PBE-GGA
Structure: relaxed

The structure in POSCAR format:
```
SbNO3
1.0
3.897 0.000 0.000
0.000 3.897 0.000
0.000 0.000 3.897
Sb O N
1 3 1
Direct
0.000 0.000 0.000
0.000 0.500 0.000
0.000 0.000 0.500
0.500 0.000 0.000
0.500 0.500 0.500
```

- Final energy: -24.8 eV for the cell shown


3.
Compound: SbN2O
Source: Alexandria
Functional: PBE-GGA
Structure: relaxed

The structure in POSCAR format:
```
SbN2O
1.0
-0.060 -0.088 3.837
-3.237 -0.917 1.848
-0.275 -3.358 1.839
Sb O N
1 1 2
Direct
0.500 0.500 0.500
0.000 0.000 0.000
0.250 0.250 0.250
0.750 0.750 0.750
```

- Energy above the lowest structure with this stoichiometry: 1931 meV per atom


4.
Compound: SbN2O
Source: Alexandria
Functional: PBE-GGA
Structure: relaxed

The structure in POSCAR format:
```
SbN2O
1.0
0.184 -4.502 4.251
2.873 -4.881 2.508
2.770 -2.669 4.856
Sb O N
1 1 2
Direct
0.000 0.000 0.000
0.500 0.500 0.500
0.881 0.881 0.881
0.119 0.119 0.119
```

- Energy above the lowest structure with this stoichiometry: 2454 meV per atom


5.
Compound: SbN2O
Source: Alexandria
Functional: PBE-GGA
Structure: relaxed

The structure in POSCAR format:
```
SbN2O
1.0
4.293 0.000 0.000
0.000 4.293 0.000
2.146 2.146 5.709
Sb O N
2 2 4
Direct
0.000 0.000 0.000
0.750 0.250 0.500
0.500 0.500 0.000
0.250 0.750 0.500
0.595 0.125 0.250
0.155 0.625 0.250
0.375 0.405 0.750
0.875 0.845 0.750
```

- Energy above the lowest structure with this stoichiometry: 1748 meV per atom


6.
Compound: SbNO
Source: Alexandria
Functional: PBE-GGA
Structure: relaxed

The structure in POSCAR format:
```
SbNO
1.0
9.730 0.209 -0.069
8.719 4.322 -0.069
0.115 0.028 3.274
Sb N O
2 2 2
Direct
0.820 0.820 0.988
0.180 0.180 0.012
0.471 0.471 0.509
0.529 0.529 0.491
0.713 0.713 0.007
0.287 0.287 0.993
```

- Energy above the lowest structure with this stoichiometry: 0 meV per atom